Entry 1:
CrHg2Cl: relaxed, PBE.

Output
Symmetry   Pmmm
Excess energy over the best structure of this formula in the dataset   0.2231 eV/atom
Magnetization   4.9 Bohr magnetons per cell
DOS at the Fermi energy   1.0 states/eV/f.u.
Uncorrected formation energy   0.13 eV/atom

Unit cell a=4.194 b=3.923 c=5.931 alpha=90.00 beta=90.00 gamma=90.00
Fractional coordinates of all 4 atoms:
Cl 0.500 0.000 0.500
Hg 0.000 0.000 0.000
Cr 0.000 0.500 0.500
Hg 0.500 0.500 0.000

Entry 2:
CaTlOs2: relaxed, PBE.

Output
Symmetry   I-4m2
Formation enthalpy at 0 K   0.82 eV per atom
Excess energy over the best structure of this formula in the dataset   0.5191 eV/atom
Magnetization   1.5 Bohr magnetons per cell
DOS at the Fermi energy   5.1 states/eV/f.u.

Unit cell a=4.735 b=4.735 c=4.735 alpha=120.36 beta=120.36 gamma=89.39
Fractional coordinates of all 4 atoms:
Os 0.000 0.000 0.000
Os 0.250 0.750 0.500
Tl 0.500 0.500 0.000
Ca 0.750 0.250 0.500

Entry 3:
SrTb6Te8: relaxed, PBE.

Output
Symmetry   Fm-3m
Excess energy over the best structure of this formula in the dataset   0.0000 eV/atom
Magnetization   0.0 Bohr magnetons per cell
DOS at the Fermi energy   5.0 states/eV/f.u.
Uncorrected formation energy   -1.41 eV/atom

Unit cell a=8.765 b=8.765 c=8.765 alpha=60.00 beta=60.00 gamma=60.00
Fractional coordinates of all 15 atoms:
Tb 0.500 0.500 0.000
Tb 0.000 0.500 0.000
Tb 0.000 0.500 0.500
Te 0.263 0.737 0.737
Te 0.737 0.263 0.263
Te 0.750 0.750 0.750
Tb 0.500 0.000 0.000
Te 0.737 0.263 0.737
Te 0.263 0.737 0.263
Tb 0.500 0.000 0.500
Te 0.737 0.737 0.263
Tb 0.000 0.000 0.500
Sr 0.000 0.000 0.000
Te 0.250 0.250 0.250
Te 0.263 0.263 0.737

Entry 4:
La2YIr: relaxed, PBE.

Output
Symmetry   R3m
Formation enthalpy at 0 K   -0.34 eV per atom
Excess energy over the best structure of this formula in the dataset   0.1506 eV/atom
Magnetization   0.0 Bohr magnetons per cell
DOS at the Fermi energy   4.9 states/eV/f.u.

Unit cell a=9.775 b=9.775 c=9.775 alpha=23.71 beta=23.71 gamma=23.71
Fractional coordinates of all 4 atoms:
La 0.029 0.029 0.029
La 0.246 0.246 0.246
Ir 0.752 0.752 0.752
Y 0.473 0.473 0.473

Entry 5:
ThAg2Cl8: relaxed, PBE.

Output
Symmetry   C2/m
Magnetization   0.0 Bohr magnetons per cell
DOS at the Fermi energy   0.0 states/eV/f.u.
Uncorrected formation energy   -1.12 eV/atom

Unit cell a=6.922 b=7.831 c=7.831 alpha=85.36 beta=107.81 gamma=107.81
Fractional coordinates of all 11 atoms:
Cl 0.156 0.559 0.559
Cl 0.347 0.229 0.229
Cl 0.844 0.441 0.441
Th 0.000 0.000 0.000
Cl 0.653 0.771 0.771
Cl 0.817 0.266 0.906
Cl 0.183 0.734 0.094
Ag 0.633 0.150 0.150
Cl 0.183 0.094 0.734
Ag 0.367 0.850 0.850
Cl 0.817 0.906 0.266

Entry 6:
MnIr6Rh4: relaxed, PBE.

Output
Symmetry   Cmcm
Formation enthalpy at 0 K   0.12 eV per atom
Magnetization   6.2 Bohr magnetons per cell
DOS at the Fermi energy   12.8 states/eV/f.u.

Unit cell a=4.717 b=4.717 c=19.753 alpha=90.00 beta=90.00 gamma=132.26
Fractional coordinates of all 22 atoms:
Rh 0.400 0.100 0.629
Ir 0.316 0.184 0.750
Ir 0.903 0.597 0.089
Ir 0.097 0.403 0.589
Rh 0.798 0.702 0.543
Ir 0.097 0.403 0.911
Ir 0.313 0.187 0.321
Rh 0.202 0.298 0.457
Mn 0.977 0.523 0.250
Rh 0.798 0.702 0.957
Rh 0.600 0.900 0.129
Rh 0.600 0.900 0.371
Ir 0.500 0.000 0.500
Ir 0.687 0.813 0.821
Mn 0.023 0.477 0.750
Ir 0.313 0.187 0.179
Ir 0.903 0.597 0.411
Ir 0.500 0.000 0.000
Ir 0.684 0.816 0.250
Ir 0.687 0.813 0.679
Rh 0.400 0.100 0.871
Rh 0.202 0.298 0.043

Entry 7:
Be4FeRu: relaxed, PBE.

Output
Symmetry   F-43m
Formation enthalpy at 0 K   -0.33 eV per atom
Magnetization   2.4 Bohr magnetons per cell
DOS at the Fermi energy   3.6 states/eV/f.u.

Unit cell a=4.262 b=4.262 c=4.262 alpha=60.00 beta=60.00 gamma=60.00
Fractional coordinates of all 6 atoms:
Fe 0.250 0.250 0.250
Be 0.625 0.625 0.126
Be 0.625 0.625 0.625
Ru 0.000 0.000 0.000
Be 0.625 0.126 0.625
Be 0.126 0.625 0.625

Entry 8:
DyTh5N6: relaxed, PBE.

Output
Symmetry   C2/m
Magnetization   0.0 Bohr magnetons per cell
DOS at the Fermi energy   5.7 states/eV/f.u.
Uncorrected formation energy   -1.58 eV/atom

Unit cell a=6.294 b=6.289 c=6.289 alpha=60.00 beta=80.43 gamma=70.58
Fractional coordinates of all 12 atoms:
Th 0.000 0.333 0.333
Th 0.000 0.667 0.667
N 0.245 0.590 0.329
N 0.755 0.082 0.329
N 0.755 0.410 0.671
Th 0.500 0.834 0.332
N 0.245 0.918 0.671
Th 0.500 0.500 0.000
N 0.753 0.754 0.000
Th 0.500 0.166 0.668
Dy 0.000 0.000 0.000
N 0.247 0.246 0.000